Entry 1:
Density functional theory data (PBE-GGA) for a geometry-optimized PrTm2IrO8 structure.

a = 5.035 Å, b = 5.030 Å, c = 6.857 Å
α = 90.00°, β = 90.00°, γ = 89.54°
Each line ends with the local moment (μB).
Element x y z (fractional)
Pr (0.000, 0.000, 0.500)  0.01
Tm (0.500, 0.500, 0.750)  0.04
Tm (0.500, 0.500, 0.250)  0.04
Ir (0.000, 0.000, 0.000)  0.93
O (0.188, 0.810, 0.203)  0.13
O (0.729, 0.731, 0.000)  0.06
O (0.812, 0.190, 0.203)  0.13
O (0.812, 0.190, 0.797)  0.13
O (0.271, 0.269, 0.000)  0.06
O (0.188, 0.810, 0.797)  0.13
O (0.680, 0.682, 0.500)  0.00
O (0.320, 0.318, 0.500)  0.00

Calculated values
- Formation energy from raw total energies: -2.3401 eV/atom
- Final energy: -7.528 eV/atom
- Calculated density: 7.640 g/cm3


Entry 2:
Density functional theory data (PBE-GGA) for a geometry-optimized TaCr3B structure.

a = 3.955 Å, b = 3.955 Å, c = 3.955 Å
α = 90.00°, β = 90.00°, γ = 90.00°
Element x y z (fractional)
Cr (0.000, 0.500, 0.000)
Cr (0.000, 0.000, 0.500)
Cr (0.500, 0.000, 0.000)
B (0.000, 0.000, 0.000)
Ta (0.500, 0.500, 0.500)

Calculated values
- Final energy: -9.322 eV/atom
- Calculated density: 9.336 g/cm3
- E above lowest polymorph: 0.0000 eV/atom
- Formation energy from the elements: 0.16 eV per atom


Entry 3:
Density functional theory data (PBE-GGA) for a geometry-optimized Pr2ZrU2Ru5 structure.

a = 3.498 Å, b = 10.762 Å, c = 10.762 Å
α = 90.00°, β = 90.00°, γ = 90.00°
Element x y z (fractional)
Pr (0.000, 0.673, 0.173)
Pr (0.000, 0.327, 0.827)
Pr (0.000, 0.173, 0.327)
Pr (0.000, 0.827, 0.673)
Zr (0.000, 0.000, 0.000)
Zr (0.000, 0.500, 0.500)
U (0.000, 0.140, 0.640)
U (0.000, 0.860, 0.360)
U (0.000, 0.640, 0.860)
U (0.000, 0.360, 0.140)
Ru (0.500, 0.206, 0.051)
Ru (0.500, 0.794, 0.949)
Ru (0.500, 0.051, 0.794)
Ru (0.500, 0.706, 0.449)
Ru (0.500, 0.949, 0.206)
Ru (0.500, 0.294, 0.551)
Ru (0.500, 0.551, 0.706)
Ru (0.500, 0.449, 0.294)
Ru (0.500, 0.500, 0.000)
Ru (0.500, 0.000, 0.500)

Calculated values
- Final energy: -8.907 eV/atom
- Calculated density: 11.105 g/cm3
- Formation energy from the elements: -0.20 eV per atom


Entry 4:
Density functional theory data (PBE-GGA) for a geometry-optimized Sm2Dy2Te2Se3 structure.

a = 5.609 Å, b = 5.609 Å, c = 8.850 Å
α = 108.48°, β = 108.48°, γ = 90.00°
Element x y z (fractional)
Sm (0.194, 0.194, 0.389)
Sm (0.806, 0.806, 0.611)
Dy (0.500, 0.000, 0.000)
Dy (0.000, 0.500, 0.000)
Te (0.606, 0.606, 0.211)
Te (0.394, 0.394, 0.789)
Se (0.000, 0.000, 0.000)
Se (0.250, 0.750, 0.500)
Se (0.750, 0.250, 0.500)

Calculated values
- Formation energy from raw total energies: -1.4233 eV/atom
- Final energy: -5.354 eV/atom
- Calculated density: 7.457 g/cm3


Entry 5:
Density functional theory data (PBE-GGA) for a geometry-optimized GeH2Pd3 structure.

a = 4.135 Å, b = 5.887 Å, c = 5.887 Å
α = 104.11°, β = 90.00°, γ = 90.00°
Element x y z (fractional)
Ge (0.250, 0.302, 0.698)
Ge (0.750, 0.698, 0.302)
H (0.000, 0.166, 0.166)
H (0.500, 0.166, 0.166)
H (0.000, 0.834, 0.834)
H (0.500, 0.834, 0.834)
Pd (0.750, 0.112, 0.888)
Pd (0.750, 0.174, 0.425)
Pd (0.250, 0.425, 0.174)
Pd (0.750, 0.575, 0.826)
Pd (0.250, 0.826, 0.575)
Pd (0.250, 0.888, 0.112)

Calculated values
- Final energy: -4.699 eV/atom
- Calculated density: 9.414 g/cm3


Entry 6:
Density functional theory data (PBE-GGA) for a geometry-optimized Ac2AlGa6Si structure.

a = 7.154 Å, b = 7.120 Å, c = 9.024 Å
α = 90.00°, β = 90.00°, γ = 90.00°
Element x y z (fractional)
Ac (0.500, 0.754, 0.244)
Ac (0.000, 0.246, 0.744)
Ac (0.500, 0.754, 0.756)
Ac (0.000, 0.246, 0.256)
Al (0.500, 0.093, 0.500)
Al (0.000, 0.907, 0.000)
Ga (0.500, 0.252, 0.244)
Ga (0.500, 0.252, 0.756)
Ga (0.000, 0.748, 0.256)
Ga (0.000, 0.748, 0.744)
Ga (0.184, 0.917, 0.500)
Ga (0.816, 0.917, 0.500)
Ga (0.320, 0.438, 0.500)
Ga (0.680, 0.438, 0.500)
Ga (0.820, 0.562, 0.000)
Ga (0.180, 0.562, 0.000)
Ga (0.316, 0.083, 0.000)
Ga (0.684, 0.083, 0.000)
Si (0.000, 0.576, 0.500)
Si (0.500, 0.424, 0.000)

Calculated values
- Formation energy from raw total energies: -0.2869 eV/atom
- Final energy: -3.841 eV/atom
- Calculated density: 6.701 g/cm3


Entry 7:
Density functional theory data (PBE-GGA) for a geometry-optimized AcLa2TcN4 structure.

a = 3.636 Å, b = 6.494 Å, c = 12.354 Å
α = 90.00°, β = 90.00°, γ = 106.26°
Element x y z (fractional)
Ac (0.115, 0.230, 0.750)
Ac (0.885, 0.770, 0.250)
La (0.368, 0.737, 0.541)
La (0.632, 0.263, 0.041)
La (0.632, 0.263, 0.459)
La (0.368, 0.737, 0.959)
Tc (0.846, 0.691, 0.750)
Tc (0.154, 0.309, 0.250)
N (0.269, 0.537, 0.135)
N (0.731, 0.463, 0.635)
N (0.731, 0.463, 0.865)
N (0.269, 0.537, 0.365)
N (0.000, 0.000, 0.500)
N (0.000, 0.000, 0.000)
N (0.415, 0.830, 0.750)
N (0.585, 0.170, 0.250)

Calculated values
- Formation energy from raw total energies: -0.8986 eV/atom
- Final energy: -8.102 eV/atom
- Calculated density: 7.814 g/cm3


Entry 8:
Density functional theory data (PBE-GGA) for a geometry-optimized BaCr2CoS8 structure.

a = 5.858 Å, b = 5.858 Å, c = 9.183 Å
α = 71.40°, β = 71.40°, γ = 60.00°
Each line ends with the local moment (μB).
Element x y z (fractional)
Ba (0.500, 0.500, 0.500)  0.00
Cr (0.255, 0.255, 0.234)  0.22
Cr (0.745, 0.745, 0.766)  0.22
Co (0.000, 0.000, 0.000)  0.43
S (0.174, 0.174, 0.479)  -0.01
S (0.629, 0.264, 0.156)  0.00
S (0.826, 0.826, 0.521)  -0.01
S (0.952, 0.629, 0.156)  0.00
S (0.048, 0.371, 0.844)  0.00
S (0.264, 0.952, 0.156)  0.00
S (0.736, 0.048, 0.844)  0.00
S (0.371, 0.736, 0.844)  0.00

Calculated values
- Formation energy from raw total energies: -0.5825 eV/atom
- Final energy: -5.690 eV/atom
- Calculated density: 3.643 g/cm3


Entry 9:
Density functional theory data (PBE-GGA) for a geometry-optimized AlFe2As structure.

a = 6.752 Å, b = 6.752 Å, c = 5.438 Å
α = 51.62°, β = 51.62°, γ = 90.00°
Each line ends with the local moment (μB).
Element x y z (fractional)
As (0.000, 0.000, 0.000)  -0.02
As (0.750, 0.250, 0.500)  -0.02
Fe (0.648, 0.125, 0.250)  2.19
Fe (0.102, 0.625, 0.250)  2.17
Fe (0.375, 0.352, 0.750)  2.17
Fe (0.875, 0.898, 0.750)  2.17
Al (0.500, 0.500, 0.000)  -0.04
Al (0.250, 0.750, 0.500)  -0.04

Calculated values
- Final energy: -5.999 eV/atom
- Calculated density: 5.979 g/cm3
- E above lowest polymorph: 0.4902 eV/atom
- Formation energy from the elements: 0.33 eV per atom


Entry 10:
Density functional theory data (PBE-GGA) for a geometry-optimized ScSiOs4 structure.

a = 5.176 Å, b = 5.176 Å, c = 5.176 Å
α = 60.00°, β = 60.00°, γ = 60.00°
Element x y z (fractional)
Sc (0.750, 0.750, 0.750)
Si (0.000, 0.000, 0.000)
Os (0.876, 0.375, 0.375)
Os (0.375, 0.375, 0.876)
Os (0.375, 0.876, 0.375)
Os (0.375, 0.375, 0.375)

Calculated values
- Formation energy from raw total energies: 0.3066 eV/atom
- Final energy: -9.139 eV/atom
- Calculated density: 14.121 g/cm3


Entry 11:
Density functional theory data (PBE-GGA) for a geometry-optimized KTlN2O structure.

a = 5.184 Å, b = 5.184 Å, c = 4.803 Å
α = 90.00°, β = 90.00°, γ = 90.00°
Each line ends with the local moment (μB).
Element x y z (fractional)
Tl (0.500, 0.500, 0.500)  0.00
K (0.000, 0.000, 0.000)  0.08
O (0.000, 0.000, 0.500)  0.86
N (0.000, 0.500, 0.000)  1.64
N (0.500, 0.000, 0.000)  1.64

Calculated values
- Formation energy from raw total energies: 1.7615 eV/atom
- Final energy: -3.253 eV/atom
- Calculated density: 3.698 g/cm3


Entry 12:
Density functional theory data (PBE-GGA) for a geometry-optimized Ca2BiPbSe structure.

a = 5.984 Å, b = 5.718 Å, c = 5.984 Å
α = 90.00°, β = 90.00°, γ = 90.00°
Element x y z (fractional)
Pb (0.000, 0.000, 0.000)
Ca (0.000, 0.000, 0.500)
Ca (0.500, 0.000, 0.000)
Bi (0.000, 0.500, 0.000)
Se (0.500, 0.500, 0.500)

Calculated values
- Formation energy from raw total energies: -0.0121 eV/atom
- Final energy: -3.028 eV/atom
- Calculated density: 4.666 g/cm3